The following is a PBE-GGA calculation of BaLa2PdO5 after structural relaxation, from Alexandria.

Values from the calculation:
* crystal system: tetragonal
* symmetry: I4/mcm
* E_tot: -7.08 eV/atom
* total magnetization: 0.222 μB per atom

Cell and atoms, written as extended XYZ:
```
18
Lattice="-3.453 3.453 6.212 3.453 -3.453 6.212 3.453 3.453 -6.212" Properties=species:S:1:pos:R:3 pbc="T T T"
Ba 0.000 0.000 3.106
Ba 0.000 0.000 9.318
La 4.657 1.204 0.000
La 1.204 2.250 0.000
La 2.250 1.204 6.212
La -1.204 2.250 6.212
Pd 3.453 0.000 3.106
Pd 0.000 3.453 3.106
O 0.000 0.000 0.000
O 2.470 0.983 -1.515
O 2.470 -0.983 4.697
O 2.470 0.983 1.515
O 2.470 -0.983 7.728
O 0.000 0.000 6.212
O 0.983 4.437 -1.515
O 0.983 2.470 4.697
O 0.983 4.437 1.515
O 0.983 2.470 7.728
```